Compound: PuPdPtRh
Source: Alexandria
Functional: PBE
Structure: optimized geometry

## Properties
As for the energy above the most stable polymorph in this dataset: 0.124 eV/atom. The calculation puts the formation energy at -171 kJ/mol of formula units. For the calculated total energy, the calculation gives -34.7 eV for the cell shown. As for the total moment: 4.20 μB per formula unit.

Lattice parameters (Å, degrees): 4.6360 4.6360 4.6360 60.00 60.00 60.00
Fractional positions:
1 Pu 0.0000 0.0000 0.0000
2 Pd 0.2500 0.2500 0.2500
3 Pt 0.5000 0.5000 0.5000
4 Rh 0.7500 0.7500 0.7500